Compound: MnTcSnPH
Source: Alexandria via LeMat-Bulk
Functional: PBE
Structure: optimized geometry

Geometry as CIF:
```
data_MnTcSnPH
_chemical_formula_sum 'Mn2 Tc2 Sn2 P2 H2'
_cell_length_a 3.036
_cell_length_b 3.091
_cell_length_c 14.662
_cell_angle_alpha 90.00
_cell_angle_beta 90.00
_cell_angle_gamma 90.00
_space_group_name_H-M_alt 'I m m 2'
_space_group_IT_number 44
_space_group_name_Hall 'I 2 -2'
loop_
_atom_site_label
_atom_site_type_symbol
_atom_site_fract_x
_atom_site_fract_y
_atom_site_fract_z
Mn1 Mn 0.000 0.000 0.000
Tc1 Tc 0.000 0.000 0.181
Sn1 Sn 0.000 0.500 0.841
P1 P 0.000 0.000 0.608
H1 H 0.000 0.500 0.445
```

Calculated values
Crystal system = orthorhombic
Energy above the most stable polymorph in this dataset = 0.134 eV/atom
Spin magnetization = 2.88 μB/f.u.
Calculated volume = 137.6 Å³ per cell
DFT total energy = -6.517 eV/atom